DFT (GGA-PBEsol) results for a geometry-optimized In5Hg structure.

```
6
Lattice="-2.149 -0.880 -2.410 2.387 -1.836 -1.459 -3.714 -10.508 7.149" Properties=species:S:1:pos:R:3 pbc="T T T"
Hg 0.119 -1.358 -1.934
In -3.127 -8.846 6.018
In -0.587 -1.662 1.131
In -2.371 -8.404 2.859
In -1.105 -4.821 0.421
In -1.857 -5.254 3.574
```

## Properties
**E_tot**: -15.52 eV/f.u.
**Offset from the most stable computed form**: 0.000 eV per formula unit
**Energy of formation**: -0.006 eV/atom

DFT (GGA-PBEsol) results for a geometry-optimized In7Hg structure.

```
8
Lattice="6.560 0.000 0.000 3.280 5.681 0.000 3.280 1.894 5.356" Properties=species:S:1:pos:R:3 pbc="T T T"
Hg 0.000 0.000 0.000
In 1.640 0.947 2.678
In 1.640 2.840 0.000
In 3.280 0.000 0.000
In 4.920 2.840 0.000
In 4.920 0.947 2.678
In 3.280 3.787 2.678
In 6.560 3.787 2.678
```

## Properties
**E_tot**: -21.50 eV/f.u.
**Energy of formation**: -0.007 eV/atom